Entry w
## CsSbHPd (PBE)

Data for an optimized crystal structure of CsSbHPd.

Size of the total moment in μB per cell: 0.0

abc: 7.6221 7.6221 7.6221
angles: 152.36 152.36 39.49
Atoms (fractional coordinates):
Cs 0.0000 0.0000 0.0000
Sb 0.7199 0.7199 0.0000
H 0.4081 0.4081 0.0000
Pd 0.2891 0.2891 0.0000

***

Entry x
## CsSbHPd (PBE)

Data for an optimized crystal structure of CsSbHPd.

Size of the total moment in μB per cell: 0.0

abc: 3.7323 4.2253 6.5061
angles: 90.00 100.61 90.00
Atoms (fractional coordinates):
Cs 0.0000 0.0000 0.0000
Sb 0.6748 0.5000 0.4880
H 0.5690 0.5000 0.2033
Pd 0.1922 0.0000 0.5143

***

Most stable to least stable, the ends of the list are entry w and entry x.

***

Entry w
## CsSbHPd (PBE)

Data for an optimized crystal structure of CsSbHPd.

Size of the total moment in μB per cell: 0.0

abc: 3.2240 7.2121 7.2121
angles: 34.98 90.00 90.00
Atoms (fractional coordinates):
Cs 0.0000 0.0000 0.0000
Sb 0.5000 0.7149 0.7149
H 0.5000 0.3612 0.3612
Pd 0.0000 0.2925 0.2925

***

Entry x
## CsSbHPd (PBE)

Data for an optimized crystal structure of CsSbHPd.

Size of the total moment in μB per cell: 0.0

abc: 4.8949 4.8949 6.4775
angles: 99.35 99.35 42.80
Atoms (fractional coordinates):
Cs 0.0000 0.0000 0.0000
Sb 0.3458 0.3458 0.4528
H 0.1053 0.1053 0.5708
Pd 0.6442 0.6442 0.5541

***

Most stable to least stable, the ends of the list are entry x and entry w.

***

Entry w
## CsSbHPd (PBE)

Data for an optimized crystal structure of CsSbHPd.

Size of the total moment in μB per cell: 0.0

abc: 3.4687 6.5936 6.5936
angles: 44.03 90.00 90.00
Atoms (fractional coordinates):
Cs 0.0000 0.0000 0.0000
Sb 0.5000 0.7098 0.7098
H 0.0000 0.2957 0.2957
Pd 0.5000 0.2859 0.2859

***

Entry x
## CsSbHPd (PBE)

Data for an optimized crystal structure of CsSbHPd.

Size of the total moment in μB per cell: 0.0

abc: 4.5340 6.0855 4.6737
angles: 90.00 118.89 90.00
Atoms (fractional coordinates):
Cs 0.0000 0.0000 0.0000
Sb 0.3324 0.5000 0.6592
H 0.8511 0.5000 0.0992
Pd 0.6562 0.5000 0.3136

***

Most stable to least stable, the ends of the list are entry x and entry w.

***

Entry w
## Cs2H6Pt (PBE)

Data for an optimized crystal structure of Cs2H6Pt.

Size of the total moment in μB per cell: 0.0

abc: 5.9763 5.9763 5.1830
angles: 90.21 90.21 60.14
Atoms (fractional coordinates):
Cs 0.1669 0.1669 0.2971
Cs 0.8331 0.8331 0.7029
H 0.2383 0.6311 0.1836
H 0.3683 0.3683 0.8165
H 0.3689 0.7617 0.8164
H 0.6311 0.2383 0.1836
H 0.6317 0.6317 0.1835
H 0.7617 0.3689 0.8164
Pt 0.5000 0.5000 0.0000

***

Entry x
## Cs2H6Pt (PBE)

Data for an optimized crystal structure of Cs2H6Pt.

Size of the total moment in μB per cell: 0.0

abc: 6.2912 6.2912 6.2912
angles: 60.00 60.00 60.00
Atoms (fractional coordinates):
Cs 0.2500 0.2500 0.2500
Cs 0.7500 0.7500 0.7500
H 0.1863 0.1863 0.8137
H 0.1863 0.8137 0.1863
H 0.1863 0.8137 0.8137
H 0.8137 0.1863 0.1863
H 0.8137 0.1863 0.8137
H 0.8137 0.8137 0.1863
Pt 0.0000 0.0000 0.0000

***

Most stable to least stable, the ends of the list are entry x and entry w.

***

Entry w
## Cs2HPt (PBE)

Data for an optimized crystal structure of Cs2HPt.

Size of the total moment in μB per cell: 0.0

abc: 3.6777 9.2184 9.5485
angles: 75.86 82.92 89.93
Atoms (fractional coordinates):
Cs 0.0689 0.0560 0.2784
Cs 0.0723 0.5559 0.2784
Cs 0.9277 0.4441 0.7216
Cs 0.9311 0.9440 0.7216
H 0.0013 0.7502 0.5001
H 0.9987 0.2498 0.4999
Pt 0.4989 0.2500 0.4999
Pt 0.5011 0.7500 0.5001

***

Entry x
## Cs2HPt (PBE)

Data for an optimized crystal structure of Cs2HPt.

Size of the total moment in μB per cell: 0.0

abc: 10.2514 10.2514 10.2514
angles: 21.44 21.44 21.44
Atoms (fractional coordinates):
Cs 0.1019 0.1019 0.1019
Cs 0.8981 0.8981 0.8981
H 0.5000 0.5000 0.5000
Pt 0.0000 0.0000 0.0000

***

Most stable to least stable, the ends of the list are entry w and entry x.

***

Entry w
## Cs2HPt (PBE)

Data for an optimized crystal structure of Cs2HPt.

Size of the total moment in μB per cell: 1.0

abc: 5.8221 5.8221 5.8221
angles: 60.00 60.00 60.00
Atoms (fractional coordinates):
Cs 0.2500 0.2500 0.2500
Cs 0.7500 0.7500 0.7500
H 0.0000 0.0000 0.0000
Pt 0.5000 0.5000 0.5000

***

Entry x
## Cs2HPt (PBE)

Data for an optimized crystal structure of Cs2HPt.

Size of the total moment in μB per cell: 2.1

abc: 7.2857 7.2857 7.2857
angles: 107.24 107.24 114.03
Atoms (fractional coordinates):
Cs 0.0768 0.6250 0.9518
Cs 0.3750 0.3268 0.4518
Cs 0.6732 0.1250 0.0482
Cs 0.8750 0.9232 0.5482
H 0.0000 0.0000 0.0000
H 0.7500 0.2500 0.5000
Pt 0.2500 0.7500 0.5000
Pt 0.5000 0.5000 0.0000

***

Most stable to least stable, the ends of the list are entry w and entry x.

***

Entry w
## CsH8Pt2 (PBE)

Data for an optimized crystal structure of CsH8Pt2.

Size of the total moment in μB per cell: 0.0

abc: 6.4547 6.4547 3.5306
angles: 90.00 90.00 121.04
Atoms (fractional coordinates):
Cs 0.0000 0.0000 0.0000
H 0.0814 0.3992 0.5000
H 0.3513 0.6487 0.0000
H 0.3765 0.3765 0.5000
H 0.3992 0.0814 0.5000
H 0.6008 0.9186 0.5000
H 0.6235 0.6235 0.5000
H 0.6487 0.3513 0.0000
H 0.9186 0.6008 0.5000
Pt 0.3589 0.6411 0.5000
Pt 0.6411 0.3589 0.5000

***

Entry x
## CsH8Pt2 (PBE)

Data for an optimized crystal structure of CsH8Pt2.

Size of the total moment in μB per cell: 0.0

abc: 5.5033 3.6242 6.8311
angles: 90.00 112.64 90.00
Atoms (fractional coordinates):
Cs 0.0000 0.0000 0.0000
H 0.0798 0.5000 0.6755
H 0.2609 0.0000 0.5203
H 0.4092 0.5000 0.3193
H 0.5000 0.1046 0.0000
H 0.5000 0.8954 0.0000
H 0.5908 0.5000 0.6807
H 0.7391 0.0000 0.4797
H 0.9202 0.5000 0.3245
Pt 0.2579 0.5000 0.5135
Pt 0.7421 0.5000 0.4865

***

Most stable to least stable, the ends of the list are entry x and entry w.

***

Entry w
## CsRbH2Pt (PBE)

Data for an optimized crystal structure of CsRbH2Pt.

Size of the total moment in μB per cell: 0.0

abc: 3.4586 4.2824 8.6770
angles: 103.94 90.09 90.01
Atoms (fractional coordinates):
Cs 0.0000 0.0000 0.0000
Rb 0.9988 0.2778 0.5605
H 0.5001 0.4128 0.8207
H 0.9970 0.5969 0.2984
Pt 0.4971 0.6593 0.3043

***

Entry x
## CsRbH2Pt (PBE)

Data for an optimized crystal structure of CsRbH2Pt.

Size of the total moment in μB per cell: 0.0

abc: 4.6004 5.2426 6.4797
angles: 101.46 110.66 90.15
Atoms (fractional coordinates):
Cs 0.0000 0.0000 0.0000
Rb 0.7545 0.4097 0.5037
H 0.1759 0.6481 0.3427
H 0.3750 0.1971 0.7484
Pt 0.2766 0.9210 0.5480

***

Most stable to least stable, the ends of the list are entry x and entry w.

***

Entry w
## CsRbH2Pt (PBE)

Data for an optimized crystal structure of CsRbH2Pt.

Size of the total moment in μB per cell: 0.1

abc: 5.8656 5.8830 5.8949
angles: 91.09 119.27 119.20
Atoms (fractional coordinates):
Cs 0.0000 0.0000 0.0000
Rb 0.0001 0.5009 0.4991
H 0.4962 0.5462 0.0442
H 0.5040 0.9553 0.4544
Pt 0.5001 0.7507 0.2494

***

Entry x
## CsRbH2Pt (PBE)

Data for an optimized crystal structure of CsRbH2Pt.

Size of the total moment in μB per cell: 0.0

abc: 4.3300 5.6622 5.7806
angles: 93.54 90.19 90.20
Atoms (fractional coordinates):
Cs 0.0000 0.0000 0.0000
Rb 0.0005 0.5009 0.4996
H 0.4998 0.2357 0.6956
H 0.5009 0.7687 0.3071
Pt 0.5004 0.0021 0.5013

***

Most stable to least stable, the ends of the list are entry w and entry x.

***

Entry w
## CsRbH2Pt (PBE)

Data for an optimized crystal structure of CsRbH2Pt.

Size of the total moment in μB per cell: 0.0

abc: 4.2033 8.0008 8.0008
angles: 31.52 90.00 90.00
Atoms (fractional coordinates):
Cs 0.0000 0.0000 0.0000
Rb 0.0000 0.2317 0.2317
H 0.5000 0.7398 0.7398
H 0.5000 0.7999 0.7999
Pt 0.5000 0.6213 0.6213

***

Entry x
## CsRbH2Pt (PBE)

Data for an optimized crystal structure of CsRbH2Pt.

Size of the total moment in μB per cell: 0.1

abc: 5.8119 3.5186 6.4137
angles: 90.00 90.03 90.00
Atoms (fractional coordinates):
Cs 0.0000 0.0000 0.0000
Rb 0.5004 0.0000 0.4383
H 0.0008 0.0000 0.5072
H 0.4990 0.5000 0.0766
Pt 0.0004 0.5000 0.5085

***

Most stable to least stable, the ends of the list are entry x and entry w.

***

Entry w
## CsRbH2Pt (PBE)

Data for an optimized crystal structure of CsRbH2Pt.

Size of the total moment in μB per cell: 0.2

abc: 5.7950 5.7950 5.7950
angles: 119.84 117.15 92.64
Atoms (fractional coordinates):
Cs 0.0000 0.0000 0.0000
Rb 0.5054 0.5054 0.0000
H 0.5026 0.0026 0.5000
H 0.6098 0.1098 0.5000
Pt 0.2578 0.7578 0.5000

***

Entry x
## CsRbH2Pt (PBE)

Data for an optimized crystal structure of CsRbH2Pt.

Size of the total moment in μB per cell: 0.0

abc: 4.4070 4.4070 7.2159
angles: 107.76 107.76 90.00
Atoms (fractional coordinates):
Cs 0.0000 0.0000 0.0000
Rb 0.2719 0.2719 0.5375
H 0.5084 0.5084 0.0180
H 0.7717 0.7717 0.5347
Pt 0.6405 0.6405 0.2775

***

Most stable to least stable, the ends of the list are entry x and entry w.

***

Entry w
## CsSbH2Pt (PBE)

Data for an optimized crystal structure of CsSbH2Pt.

Size of the total moment in μB per cell: 0.0

abc: 4.9224 5.9012 5.9045
angles: 70.21 89.71 89.74
Atoms (fractional coordinates):
Cs 0.0000 0.0000 0.0000
Sb 0.4977 0.3724 0.3727
H 0.5057 0.7051 0.8150
H 0.5060 0.8179 0.7043
Pt 0.9977 0.3699 0.3704

***

Entry x
## CsSbH2Pt (PBE)

Data for an optimized crystal structure of CsSbH2Pt.

Size of the total moment in μB per cell: 0.0

abc: 6.3882 6.3882 6.5242
angles: 108.73 108.73 39.70
Atoms (fractional coordinates):
Cs 0.0000 0.0000 0.0000
Sb 0.6587 0.6587 0.5441
H 0.3275 0.3275 0.1349
H 0.3704 0.3704 0.2544
Pt 0.2188 0.2188 0.7427

***

Entry y
## CsSbH2Pt (PBE)

Data for an optimized crystal structure of CsSbH2Pt.

Size of the total moment in μB per cell: 0.0

abc: 4.5970 4.5970 6.4303
angles: 90.32 90.32 58.94
Atoms (fractional coordinates):
Cs 0.0000 0.0000 0.0000
Sb 0.6666 0.6666 0.5318
H 0.3297 0.3297 0.0654
H 0.3305 0.3305 0.1882
Pt 0.3348 0.3348 0.5404

***

Most stable to least stable, the ends of the list are entry y and entry x.